No. 1
Density functional theory data (PBE) for a relaxed structure of MnMo3S.

## Properties
E_form (uncorrected) = 132 kJ/mol of atoms
distance to the lowest polymorph of the same formula = 496 meV/atom
space group = Pm-3m (221)

abc: 4.480 4.480 4.480
angles: 90.00 90.00 90.00
Atoms (fractional coordinates):
Mn1 0.000 0.000 0.000
Mo1 0.000 0.000 0.500
Mo2 0.000 0.500 0.000
Mo3 0.500 0.000 0.000
S1 0.500 0.500 0.500

---

No. 2
Density functional theory data (PBE) for a relaxed structure of MnMo2SeS.

## Properties
E_form (uncorrected) = 184 kJ/mol of atoms
space group = P4/mmm (123)

abc: 4.669 4.669 4.803
angles: 90.00 90.00 90.00
Atoms (fractional coordinates):
Mn1 0.000 0.000 0.000
Mo1 0.000 0.500 0.500
Mo2 0.500 0.000 0.500
Se1 0.500 0.500 0.500
S1 0.500 0.500 0.000

---

No. 3
Density functional theory data (PBE) for a relaxed structure of Mn2SbMo.

## Properties
E_form (uncorrected) = 17 kJ/mol of atoms
space group = F-43m (216)

abc: 4.403 4.403 4.403
angles: 60.00 60.00 60.00
Atoms (fractional coordinates):
Mn1 0.000 0.000 0.000
Mn2 0.250 0.250 0.250
Sb1 0.500 0.500 0.500
Mo1 0.750 0.750 0.750

---

No. 4
Density functional theory data (PBE) for a relaxed structure of MnSbMo2.

## Properties
E_form (uncorrected) = 38 kJ/mol of atoms
space group = Cmm2 (35)

abc: 2.924 2.924 8.447
angles: 90.00 90.00 109.35
Atoms (fractional coordinates):
Mn1 0.000 0.000 0.000
Sb1 0.500 0.500 0.743
Mo1 0.000 0.000 0.469
Mo2 0.500 0.500 0.228